1.
{
  "formula": "Sc2CrBr",
  "functional": "PBE-GGA",
  "state": "optimized geometry",
  "raw_formation_energy_ev_per_atom": 0.223,
  "e_above_lowest_polymorph_ev_per_fu": 2.02,
  "sg": "Fm-3m (225)",
  "final_energy_ev_per_cell": -23.07,
  "lattice_angstrom": [[0.000, 3.490, 3.490], [3.490, 0.000, 3.490], [3.490, 3.490, 0.000]],
  "species": ["Sc", "Sc", "Br", "Cr"],
  "frac_coords": [[0.750, 0.750, 0.750], [0.250, 0.250, 0.250], [0.500, 0.500, 0.500], [0.000, 0.000, 0.000]]
}


2.
{
  "formula": "Sc2CrBr",
  "functional": "PBE-GGA",
  "state": "optimized geometry",
  "raw_formation_energy_ev_per_atom": 0.044,
  "e_above_lowest_polymorph_ev_per_fu": 1.30,
  "sg": "Imm2 (44)",
  "final_energy_ev_per_cell": -23.78,
  "lattice_angstrom": [[5.976, 0.011, -0.005], [3.017, 5.158, 0.005], [-3.915, -3.596, 2.729]],
  "species": ["Sc", "Sc", "Cr", "Br"],
  "frac_coords": [[0.021, 0.021, 0.000], [0.736, 0.236, 0.500], [0.255, 0.755, 0.500], [0.488, 0.488, 0.000]]
}